# PBE LaZn4Sb, optimized geometry
# E_form (uncorrected) in eV per formula unit: -1.01
# Fermi-level density of states in states/eV per atom: 0.40
# ρ in g cm⁻³: 6.9
data_LaZn4Sb
_chemical_formula_sum 'La4 Zn16 Sb4'
_space_group_name_H-M_alt 'F -4 3 m'
_space_group_IT_number 216
_space_group_name_Hall 'F -4 2 3'
_cell_length_a 7.958
_cell_length_b 7.958
_cell_length_c 7.958
_cell_angle_alpha 90.00
_cell_angle_beta 90.00
_cell_angle_gamma 90.00
loop_
_atom_site_label
_atom_site_fract_x
_atom_site_fract_y
_atom_site_fract_z
La1 0.000 0.000 0.000
Zn1 0.124 0.124 0.376
Sb1 0.250 0.250 0.750